[1]
! PBE with a Hubbard U CaVAg2F8, relaxed; values from VASP
&SYSTEM
  ibrav = 0, nat = 12, ntyp = 4
/
ATOMIC_SPECIES
Ca 40.08 Ca.upf
V 50.94 V.upf
Ag 107.87 Ag.upf
F 19.00 F.upf
CELL_PARAMETERS angstrom
-1.584 1.237 -4.560
0.462 -5.434 -1.484
-6.504 -1.088 1.964
ATOMIC_POSITIONS angstrom
Ca -3.252 -0.544 0.982
V 0.000 0.000 0.000
Ag -5.488 -2.923 -1.534
Ag -2.138 -2.363 -2.546
F -1.223 -4.511 -1.553
F -7.278 -4.463 -2.472
F -2.597 -0.138 -3.676
F -6.402 -0.775 -2.527
F -0.348 -0.822 -1.608
F -5.029 -5.147 -0.404
F -3.983 -3.690 -3.185
F -3.643 -1.596 -0.895
! * electronic total energy: -59.2 eV per formula unit
! * SG: P2/m, No. 10


[2]
! PBE with a Hubbard U Ca2VAgF, relaxed; values from VASP
&SYSTEM
  ibrav = 0, nat = 5, ntyp = 4
/
ATOMIC_SPECIES
Ca 40.08 Ca.upf
F 19.00 F.upf
Ag 107.87 Ag.upf
V 50.94 V.upf
CELL_PARAMETERS angstrom
-0.527 -5.810 1.077
-0.255 -1.058 -5.831
4.001 -0.382 -0.105
ATOMIC_POSITIONS angstrom
Ca -0.127 -0.529 -2.916
Ca -0.263 -2.905 0.538
F 2.001 -0.191 -0.053
Ag 1.610 -3.625 -2.430
V 0.000 0.000 0.000
! * electronic total energy: -17.3 eV per formula unit
! * SG: P4/mmm, No. 123


[3]
! PBE with a Hubbard U CaAgWF6, relaxed; values from VASP
&SYSTEM
  ibrav = 0, nat = 18, ntyp = 4
/
ATOMIC_SPECIES
Ca 40.08 Ca.upf
Ag 107.87 Ag.upf
W 183.84 W.upf
F 19.00 F.upf
CELL_PARAMETERS angstrom
5.273 0.000 0.000
0.000 5.273 0.000
0.000 0.000 10.750
ATOMIC_POSITIONS angstrom
Ca 2.637 2.637 1.818
Ca 0.000 0.000 7.192
Ag 2.637 2.637 5.357
Ag 0.000 0.000 10.731
W 2.637 2.637 8.958
W 0.000 0.000 3.583
F 0.927 4.346 5.268
F 4.346 0.927 5.268
F 1.709 1.709 10.643
F 3.564 3.564 10.643
F 1.029 4.244 2.033
F 4.244 1.029 2.033
F 1.607 1.607 7.408
F 3.666 3.666 7.408
F 4.136 1.137 8.819
F 1.137 4.136 8.819
F 3.774 3.774 3.444
F 1.499 1.499 3.444
! * electronic total energy: -47.4 eV per formula unit
! * SG: P4_2nm, No. 102